A plane-wave DFT calculation with PBE was carried out for a relaxed Sm7Ho12In crystal.

Cell lengths 12.2389, 12.2389, 15.3220 Å; angles 90.00, 90.00, 120.00 degrees
Space group R-3 (No. 148, hexagonal axes)
Symmetry-distinct sites (fractional):
1 Sm 0.0000 0.0000 0.0000 x3
2 Sm 0.0120 0.5766 0.7024 x18
3 Ho 0.0320 0.8457 0.8094 x18
4 Ho 0.0706 0.2592 0.4239 x18
5 In 0.0000 0.0000 0.5000 x3

Summary:
calculated volume: 33.13 A^3/atom
calculated total energy: -4.3602 eV per atom
total magnetization: 0.02 μB per cell